Entry 1:
Crystalline ScBePt2 at its relaxed geometry. Source: Alexandria, functional PBEsol.

Properties
ΔE to the lowest computed polymorph in meV/atom: 0
Mass density in kg/m3: 13270
Magnetic moment in μB per formula unit: 0.0
Energy relative to the elements in eV/atom: -0.941

a b c (Å): 2.850 2.850 6.841
angles (deg): 90.00 90.00 90.00
Element x y z (fractional)
Sc 0.500 0.500 0.000
Be 0.500 0.500 0.500
Pt 0.000 0.000 0.708
Pt 0.000 0.000 0.292



Entry 2:
Crystalline ScBe2Pt at its relaxed geometry. Source: Alexandria, functional PBEsol.

Properties
ΔE to the lowest computed polymorph in meV/atom: 242
Mass density in kg/m3: 8110
Magnetic moment in μB per formula unit: 0.0
Energy relative to the elements in eV/atom: -0.418

a b c (Å): 2.949 2.949 6.074
angles (deg): 90.00 90.00 90.00
Element x y z (fractional)
Sc 0.500 0.500 0.500
Be 0.000 0.000 0.805
Be 0.000 0.000 0.195
Pt 0.500 0.500 0.000



Entry 3:
Crystalline Sc2BePt at its relaxed geometry. Source: Alexandria, functional PBEsol.

Properties
Mass density in kg/m3: 7032
Magnetic moment in μB per formula unit: 0.0
Energy relative to the elements in eV/atom: 0.133

a b c (Å): 2.970 2.970 9.248
angles (deg): 80.76 80.76 60.00
Element x y z (fractional)
Sc 0.907 0.907 0.279
Sc 0.093 0.093 0.721
Be 0.500 0.500 0.500
Pt 0.000 0.000 0.000



Entry 4:
Crystalline ScBe2Pt at its relaxed geometry. Source: Alexandria, functional PBEsol.

Properties
ΔE to the lowest computed polymorph in meV/atom: 269
Mass density in kg/m3: 8016
Magnetic moment in μB per formula unit: 0.0
Energy relative to the elements in eV/atom: -0.392

a b c (Å): 4.016 4.365 4.016
angles (deg): 62.61 90.00 117.39
Element x y z (fractional)
Sc 0.750 0.500 0.750
Be 0.000 0.000 0.000
Be 0.250 0.500 0.250
Pt 0.500 0.000 0.500



Entry 5:
Crystalline ScBe2Pt at its relaxed geometry. Source: Alexandria, functional PBEsol.

Properties
ΔE to the lowest computed polymorph in meV/atom: 129
Mass density in kg/m3: 7304
Magnetic moment in μB per formula unit: 0.0
Energy relative to the elements in eV/atom: -0.531

a b c (Å): 3.905 3.905 4.982
angles (deg): 66.92 66.92 60.00
Element x y z (fractional)
Sc 0.757 0.757 0.730
Be 0.951 0.951 0.147
Be 0.233 0.233 0.302
Pt 0.559 0.559 0.324



Entry 6:
Crystalline ScBePt at its relaxed geometry. Source: Alexandria, functional PBEsol.

Properties
ΔE to the lowest computed polymorph in meV/atom: 0
Mass density in kg/m3: 8970
Magnetic moment in μB per formula unit: 0.0
Energy relative to the elements in eV/atom: -0.785

a b c (Å): 3.399 3.957 3.957
angles (deg): 120.00 90.00 90.00
Element x y z (fractional)
Sc 0.500 0.667 0.333
Be 0.000 0.000 0.000
Pt 0.000 0.333 0.667